ReRh2Cl: relaxed, PBE.

The structure belongs to space group F-43m (No. 216); the cell edges are 6.1815, 6.1815 and 6.1815 Å and the angles 90.00°, 90.00° and 90.00°. Symmetry generates all atoms from Re at (0.0000, 0.0000, 0.0000), Rh at (0.0000, 0.0000, 0.5000), Rh at (0.2500, 0.2500, 0.7500) and Cl at (0.2500, 0.2500, 0.2500).

For the energy above the most stable polymorph in this dataset, the calculation gives 659 meV per atom. The total moment comes out at 0.001 μB per formula unit. The value obtained for the raw formation energy is 0.800 eV/atom.

ReRh3Cl: relaxed, PBE.

The structure belongs to space group Pm-3m (No. 221); the cell edges are 4.7448, 4.7448 and 4.7448 Å and the angles 90.00°, 90.00° and 90.00°. Symmetry generates all atoms from Re at (0.0000, 0.0000, 0.0000), Rh at (0.0000, 0.0000, 0.5000) and Cl at (0.5000, 0.5000, 0.5000).

For the energy above the most stable polymorph in this dataset, the calculation gives 0 meV per atom. The total moment comes out at 0.000 μB per formula unit. The value obtained for the raw formation energy is 1.287 eV/atom.

ReRh2Cl: relaxed, PBE.

The structure belongs to space group C2/m (No. 12); the cell edges are 5.9871, 2.8268 and 8.3010 Å and the angles 90.00°, 107.60° and 90.00°. Symmetry generates all atoms from Re at (0.0000, 0.0000, 0.0000), Rh at (0.1745, 0.0000, 0.7751) and Cl at (0.0000, 0.5000, 0.5000).

For the energy above the most stable polymorph in this dataset, the calculation gives 123 meV per atom. The total moment comes out at 0.000 μB per formula unit. The value obtained for the raw formation energy is 0.264 eV/atom.

ReRh2Cl: relaxed, PBE.

The structure belongs to space group P4mm (No. 99); the cell edges are 2.8345, 2.8345 and 7.4959 Å and the angles 90.00°, 90.00° and 90.00°. Symmetry generates all atoms from Re at (0.0000, 0.0000, 0.0000), Rh at (0.0000, 0.0000, 0.4878), Rh at (0.5000, 0.5000, 0.2275) and Cl at (0.5000, 0.5000, 0.7655).

For the energy above the most stable polymorph in this dataset, the calculation gives 349 meV per atom. The total moment comes out at 0.000 μB per formula unit. The value obtained for the raw formation energy is 0.490 eV/atom.

Re2RhCl: relaxed, PBE.

The structure belongs to space group Pmmm (No. 47); the cell edges are 2.7965, 3.7789 and 6.2843 Å and the angles 90.00°, 90.00° and 90.00°. Symmetry generates all atoms from Re at (0.0000, 0.0000, 0.1980), Rh at (0.5000, 0.5000, 0.0000) and Cl at (0.0000, 0.5000, 0.5000).

For the energy above the most stable polymorph in this dataset, the calculation gives 314 meV per atom. The total moment comes out at 0.000 μB per formula unit. The value obtained for the raw formation energy is 0.584 eV/atom.

ReRh2Cl: relaxed, PBE.

The structure belongs to space group Pmmm (No. 47); the cell edges are 2.7817, 4.6286 and 4.6339 Å and the angles 90.00°, 90.00° and 90.00°. Symmetry generates all atoms from Re at (0.0000, 0.0000, 0.0000), Rh at (0.0000, 0.5000, 0.5000), Rh at (0.5000, 0.5000, 0.0000) and Cl at (0.5000, 0.0000, 0.5000).

For the energy above the most stable polymorph in this dataset, the calculation gives 679 meV per atom. The total moment comes out at 0.002 μB per formula unit. The value obtained for the raw formation energy is 0.821 eV/atom.

Question: Look up the raw formation energy of the fourth one.
Answer: 0.490 eV/atom